A plane-wave DFT calculation with PBE-GGA was carried out for a relaxed CaY crystal.

Relative energy among the computed polymorphs   0.16 eV/f.u.
M_tot   0.23 μB per formula unit
Mass density   3.0 g cm⁻³

```
CaY
1.0
-2.057 -4.488 4.320
-1.550 -6.270 1.150
1.322 -5.509 3.308
Y Ca
1 1
Direct
0.500 0.500 0.500
0.000 0.000 0.000
```

***

A plane-wave DFT calculation with PBE-GGA was carried out for a relaxed SrLi2Cu2P2 crystal.

M_tot   0.00 μB per formula unit
DFT total energy   -29.36 eV/cell
Mass density   4.2 g cm⁻³

```
SrLi2Cu2P2
1.0
4.071 0.000 0.000
2.035 3.525 0.000
2.035 1.175 8.065
Sr Li Cu P
1 2 2 2
Direct
0.000 0.000 0.000
0.139 0.139 0.582
0.861 0.861 0.418
0.572 0.572 0.285
0.428 0.428 0.715
0.755 0.755 0.736
0.245 0.245 0.264
```

***

A plane-wave DFT calculation with PBE-GGA was carried out for a relaxed Zn2InAg9 crystal.

M_tot   0.00 μB per formula unit
DFT total energy   -31.04 eV/cell
Mass density   9.5 g cm⁻³

```
Zn2InAg9
1.0
4.134 0.000 0.000
0.000 4.134 0.000
0.000 0.000 12.432
Zn In Ag
2 1 9
Direct
0.000 0.000 0.337
0.000 0.000 0.663
0.000 0.000 0.000
0.500 0.500 0.000
0.500 0.500 0.338
0.500 0.500 0.662
0.500 0.000 0.176
0.500 0.000 0.500
0.500 0.000 0.824
0.000 0.500 0.176
0.000 0.500 0.500
0.000 0.500 0.824
```

***

A plane-wave DFT calculation with PBE-GGA was carried out for a relaxed RbCd3Pt crystal.

Relative energy among the computed polymorphs   1.24 eV/f.u.
M_tot   0.00 μB per formula unit
Mass density   8.0 g cm⁻³

```
RbCd3Pt
1.0
-0.425 4.914 -1.663
0.547 -0.990 5.080
10.855 0.582 -1.056
Rb Pt Cd
2 2 6
Direct
0.333 0.667 0.750
0.667 0.333 0.250
0.000 0.000 0.000
0.000 0.000 0.500
0.000 0.000 0.250
0.000 0.000 0.750
0.333 0.667 0.057
0.333 0.667 0.443
0.667 0.333 0.557
0.667 0.333 0.943
```

***

A plane-wave DFT calculation with PBE-GGA was carried out for a relaxed PrAs2Pd crystal.

M_tot   0.00 μB per formula unit
DFT total energy   -22.91 eV/cell
Mass density   7.3 g cm⁻³

```
PrAs2Pd
1.0
4.184 0.002 0.000
0.000 4.183 -0.002
-2.093 -2.091 5.167
Pr As Pd
1 2 1
Direct
0.221 0.881 0.228
0.842 0.501 0.471
0.602 0.261 0.985
0.470 0.632 0.728
```

***

A plane-wave DFT calculation with PBE-GGA was carried out for a relaxed ZrFeBr2 crystal.

Relative energy among the computed polymorphs   0.00 eV/f.u.
M_tot   2.44 μB per formula unit
Mass density   5.1 g cm⁻³
E_form (uncorrected)   -445 meV per atom

```
ZrFeBr2
1.0
-6.387 1.138 -6.767
-6.994 -2.219 -5.834
-8.468 0.420 -3.999
Br Fe Zr
2 1 1
Direct
0.024 0.024 0.024
0.220 0.220 0.220
0.496 0.496 0.496
0.760 0.760 0.760
```

***

A plane-wave DFT calculation with PBE-GGA was carried out for a relaxed BeIr crystal.

M_tot   0.00 μB per formula unit
DFT total energy   -53.58 eV/cell
Mass density   14.5 g cm⁻³

```
BeIr
1.0
4.516 0.000 0.000
0.000 4.516 0.000
0.000 0.000 4.516
Be Ir
4 4
Direct
0.098 0.598 0.902
0.402 0.402 0.402
0.902 0.098 0.598
0.598 0.902 0.098
0.389 0.889 0.611
0.111 0.111 0.111
0.611 0.389 0.889
0.889 0.611 0.389
```

***

A plane-wave DFT calculation with PBE-GGA was carried out for a relaxed Zn2MoPb crystal.

M_tot   0.00 μB per formula unit
DFT total energy   -15.30 eV/cell
Mass density   10.0 g cm⁻³

```
Zn2MoPb
1.0
5.095 0.001 -0.012
-1.953 4.706 -0.012
0.009 0.013 3.015
Mo Pb Zn
1 1 2
Direct
0.500 0.000 0.500
0.000 0.500 0.500
0.000 0.000 0.000
0.500 0.500 0.000
```